5
Lattice="5.299 0.000 0.000 0.000 5.299 0.000 0.000 0.000 5.299" Properties=species:S:1:pos:R:3 comment="meta-GGA SCAN TeAsCl3, single point on PBEsol structure" crystal_system=cubic raw_formation_energy_ev_per_atom=0.18 spacegroup="No. 221" density_g_cm3=3.447 dos_at_fermi_per_ev_cell=6.1 pbc="T T T"
Cl 0.000 0.000 2.649
Cl 2.649 0.000 0.000
Cl 0.000 2.649 0.000
Te 0.000 0.000 0.000
As 2.649 2.649 2.649

=====

5
Lattice="4.184 0.000 0.000 0.000 4.732 0.000 0.000 0.000 4.732" Properties=species:S:1:pos:R:3 comment="meta-GGA SCAN Ca2CoSeN, single point on PBEsol structure" crystal_system=tetragonal raw_formation_energy_ev_per_atom=-0.25 spacegroup="No. 123" density_g_cm3=4.114 dos_at_fermi_per_ev_cell=1.4 pbc="T T T"
Se 2.092 0.000 0.000
Ca 0.000 0.000 2.366
Ca 0.000 2.366 0.000
Co 2.092 2.366 2.366
N 0.000 0.000 0.000

=====

10
Lattice="-1.542 -0.558 4.224 -6.628 -0.932 -2.543 1.182 -7.044 -0.499" Properties=species:S:1:pos:R:3 comment="meta-GGA SCAN LiY2Al2, single point on PBEsol structure" crystal_system=tetragonal spacegroup="No. 127" density_g_cm3=3.413 dos_at_fermi_per_ev_cell=5.5 formation_energy_ev_per_atom=-0.3101 pbc="T T T"
Li 0.000 0.000 0.000
Li -2.723 -3.988 -1.521
Y -2.786 -1.762 1.180
Y -4.203 -6.772 0.001
Y -1.086 -5.128 1.356
Y -5.902 -3.406 -0.175
Al -4.040 -1.530 -1.677
Al -4.995 -5.269 -2.520
Al -0.451 -2.707 -0.522
Al -1.406 -6.446 -1.365

=====

4
Lattice="-3.015 1.702 1.379 -2.496 -2.504 -2.367 2.599 -2.469 3.694" Properties=species:S:1:pos:R:3 comment="meta-GGA SCAN Li2AlCd, single point on PBEsol structure" crystal_system=orthorhombic spacegroup="No. 71" density_g_cm3=3.732 dos_at_fermi_per_ev_cell=1.4 formation_energy_ev_per_atom=-0.1718 pbc="T T T"
Li -2.833 -1.834 1.103
Li -0.078 -1.437 1.603
Cd -1.248 -1.252 -1.184
Al -1.507 0.851 0.690

=====

5
Lattice="5.573 0.000 0.000 0.000 5.594 0.000 0.000 0.000 5.594" Properties=species:S:1:pos:R:3 comment="meta-GGA SCAN BaHfTeI2, single point on PBEsol structure" crystal_system=tetragonal raw_formation_energy_ev_per_atom=-0.85 spacegroup="No. 123" density_g_cm3=6.640 dos_at_fermi_per_ev_cell=3.0 pbc="T T T"
I 0.000 2.797 0.000
I 0.000 0.000 2.797
Ba 2.786 2.797 2.797
Te 2.786 0.000 0.000
Hf 0.000 0.000 0.000

=====

5
Lattice="-1.531 0.960 -4.290 -4.067 -2.032 0.997 -1.668 4.076 1.507" Properties=species:S:1:pos:R:3 comment="meta-GGA SCAN BiOs3Ru, single point on PBEsol structure" crystal_system=cubic spacegroup="No. 221" density_g_cm3=14.500 dos_at_fermi_per_ev_cell=4.6 formation_energy_ev_per_atom=2.1827 pbc="T T T"
Os -2.034 -1.016 0.498
Os -0.834 2.038 0.753
Os -0.765 0.480 -2.145
Bi -3.633 1.502 -0.893
Ru 0.000 0.000 0.000

=====

5
Lattice="4.108 0.000 0.000 2.054 3.557 0.000 2.054 1.186 9.534" Properties=species:S:1:pos:R:3 comment="meta-GGA SCAN Sb2TeSe2, single point on PBEsol structure" relative_energy_ev_per_atom=0.033 crystal_system=trigonal raw_formation_energy_ev_per_atom=-0.17 spacegroup="No. 166" density_g_cm3=6.306 pbc="T T T"
Sb 4.108 2.372 7.492
Sb 4.108 2.372 2.042
Te 0.000 0.000 0.000
Se 2.054 1.186 3.551
Se 6.161 3.557 5.983

=====

4
Lattice="-0.777 2.639 2.307 -2.896 0.848 -1.946 -3.981 -4.599 3.921" Properties=species:S:1:pos:R:3 comment="meta-GGA SCAN BaZrRh2, single point on PBEsol structure" crystal_system=tetragonal spacegroup="No. 99" density_g_cm3=7.731 dos_at_fermi_per_ev_cell=2.6 formation_energy_ev_per_atom=-0.0873 pbc="T T T"
Rh -2.922 0.490 1.250
Rh -0.198 -0.229 0.195
Zr -1.499 -1.731 1.476
Ba -5.026 -1.940 3.321

=====

4
Lattice="-1.153 1.720 3.252 -1.059 -3.419 1.433 5.264 0.301 -0.578" Properties=species:S:1:pos:R:3 comment="meta-GGA SCAN SrCuRu2, single point on PBEsol structure" relative_energy_ev_per_atom=0.776 crystal_system=tetragonal spacegroup="No. 139" density_g_cm3=8.675 dos_at_fermi_per_ev_cell=3.8 formation_energy_ev_per_atom=0.8820 pbc="T T T"
Sr -1.106 -0.849 2.342
Cu 0.000 0.000 0.000
Ru 1.549 -1.984 1.598
Ru 1.503 0.586 2.508

=====

4
Lattice="-2.375 -1.694 0.769 -0.635 -0.902 -3.945 3.849 -1.835 1.927" Properties=species:S:1:pos:R:3 comment="meta-GGA SCAN BeFeRe2, single point on PBEsol structure" crystal_system=orthorhombic spacegroup="No. 71" density_g_cm3=14.963 dos_at_fermi_per_ev_cell=1.8 formation_energy_ev_per_atom=0.0210 pbc="T T T"
Re -0.308 -2.897 -1.415
Re 1.147 -1.533 0.166
Be -1.187 -0.847 0.385
Fe -0.317 -0.451 -1.972

=====

14
Lattice="-0.482 -3.709 1.158 6.061 1.320 0.130 -2.387 2.037 5.534" Properties=species:S:1:pos:R:3 comment="meta-GGA SCAN Li2TiV3O8, single point on PBEsol structure" relative_energy_ev_per_atom=0.062 crystal_system=monoclinic raw_formation_energy_ev_per_atom=-2.70 spacegroup="No. 8" density_g_cm3=4.060 dos_at_fermi_per_ev_cell=5.2 pbc="T T T"
V 1.560 -1.505 2.447
V -0.617 -0.541 4.630
V 3.770 0.205 2.226
Ti 1.638 1.154 4.379
Li -0.159 0.629 1.949
Li 3.363 -0.989 4.851
O 3.578 0.841 4.182
O 3.483 -1.610 2.911
O 4.058 -0.364 0.521
O -0.392 -1.187 2.653
O -0.303 1.257 3.901
O 1.382 -0.816 4.580
O 1.803 0.454 2.203
O -0.816 0.012 6.320

=====

64
Lattice="4.868 0.000 0.000 0.000 8.691 -0.023 0.000 -1.559 16.681" Properties=species:S:1:pos:R:3 comment="meta-GGA SCAN Zn3P2H2O9, single point on PBEsol structure" crystal_system=monoclinic spacegroup="No. 14" density_g_cm3=3.805 dos_at_fermi_per_ev_cell=0.0 final_energy_ev_per_atom=-9.732 pbc="T T T"
O 1.296 1.907 3.618
O 4.016 -0.367 12.621
O 1.216 5.724 14.888
O 1.312 0.108 1.410
O 1.122 -0.672 9.751
O 3.652 1.407 1.770
O 3.572 5.225 13.040
O 4.386 4.078 15.874
O 3.164 5.996 10.671
O 1.704 1.135 5.987
O 0.852 7.498 4.037
O 0.730 0.356 14.328
O 0.696 4.042 6.735
O 3.224 2.906 4.823
O 4.172 3.089 9.923
O 1.218 6.504 6.547
O 3.286 0.413 4.280
O 1.738 3.262 15.076
O 3.269 0.875 16.168
O 3.650 0.627 10.111
O 3.746 7.803 6.907
O 2.916 4.858 7.533
O 0.835 5.477 8.831
O 3.556 7.023 15.248
O 1.599 6.256 0.490
O 4.032 1.655 7.827
O 1.644 4.225 11.835
O 0.790 5.005 3.494
O 1.952 2.273 9.125
O 3.730 6.004 4.699
O 1.582 6.718 12.378
O 4.078 2.126 13.164
O 0.482 3.053 0.784
O 1.138 1.127 11.959
O 3.130 3.869 1.582
O 4.138 6.775 2.330
Zn 0.988 2.172 7.389
Zn 3.868 4.393 5.777
Zn 3.422 5.739 0.928
Zn 1.446 1.392 15.730
Zn 2.386 -0.383 11.336
Zn 4.820 6.735 13.662
Zn 0.048 0.396 2.996
Zn 3.434 3.613 14.118
Zn 1.000 2.738 10.881
Zn 3.880 4.959 9.269
Zn 2.482 7.515 5.322
Zn 1.434 3.518 2.540
H 4.657 7.425 6.741
H 1.410 7.850 1.095
H 1.024 7.070 9.435
H 2.645 6.645 15.081
H 3.458 -0.719 15.563
H 0.211 -0.293 9.918
H 2.223 0.486 1.577
H 3.844 0.061 7.223
P 0.025 0.846 13.039
P 2.409 1.626 4.698
P 3.842 2.638 0.902
P 4.843 6.285 3.619
P 1.026 4.494 15.756
P 1.408 5.273 7.415
P 2.458 5.505 11.960
P 3.460 1.858 9.243

=====

3
Lattice="4.120 0.000 0.000 2.060 3.568 0.000 2.060 1.189 3.364" Properties=species:S:1:pos:R:3 comment="meta-GGA SCAN BeMoAu, single point on PBEsol structure" relative_energy_ev_per_atom=0.304 crystal_system=cubic spacegroup="No. 216" density_g_cm3=10.141 dos_at_fermi_per_ev_cell=3.4 formation_energy_ev_per_atom=0.5237 pbc="T T T"
Au 2.060 1.189 0.841
Mo 4.120 2.378 1.682
Be 0.000 0.000 0.000

=====

94
Lattice="9.556 0.000 0.000 0.000 10.610 0.010 0.000 4.038 10.611" Properties=species:S:1:pos:R:3 comment="meta-GGA SCAN Ti17N6O24, single point on PBEsol structure" crystal_system=monoclinic raw_formation_energy_ev_per_atom=-2.94 spacegroup="No. 13" density_g_cm3=3.958 dos_at_fermi_per_ev_cell=16.1 pbc="T T T"
N 2.578 2.981 0.892
N 6.995 8.967 2.660
N 7.444 6.396 9.837
N 2.164 10.986 7.965
N 2.578 4.343 4.418
N 2.111 8.252 0.783
N 7.392 3.662 2.655
N 2.111 9.682 4.537
N 7.444 4.966 6.083
N 6.978 10.305 6.203
N 6.978 11.666 9.728
N 2.560 5.681 7.960
Ti 1.369 6.703 1.547
Ti 3.447 2.708 5.050
Ti 7.645 10.986 7.965
Ti 6.079 7.296 3.295
Ti 6.092 8.532 6.868
Ti 1.294 12.662 7.324
Ti 3.464 1.208 1.558
Ti 3.476 7.351 7.325
Ti 3.447 4.616 0.261
Ti 1.342 8.010 4.992
Ti 6.079 10.637 2.025
Ti 1.342 9.923 0.328
Ti 8.214 4.725 10.293
Ti 1.910 3.662 2.655
Ti 2.864 11.661 9.724
Ti 3.476 4.010 8.596
Ti 8.214 6.637 5.628
Ti 6.109 11.939 5.571
Ti 8.261 1.986 3.297
Ti 8.261 5.338 2.014
Ti 1.896 6.335 9.729
Ti 7.659 9.621 4.428
Ti 6.692 4.337 4.414
Ti 1.369 11.230 3.773
Ti 1.896 5.027 6.192
Ti 8.186 7.944 9.073
Ti 2.864 10.311 6.206
Ti 3.464 6.115 3.752
Ti 8.186 3.417 6.848
Ti 6.092 13.439 9.062
Ti 6.109 10.032 10.360
Ti 1.294 9.310 8.607
Ti 7.659 8.313 0.892
Ti 6.692 2.987 0.896
O 5.244 4.213 0.432
O 1.770 13.360 9.067
O 6.574 11.348 3.781
O 6.574 6.585 1.539
O 5.202 4.379 8.458
O 0.465 4.833 2.132
O 1.677 7.087 3.371
O 6.577 10.033 0.230
O 2.984 5.392 1.992
O 5.254 5.508 3.968
O 5.254 1.815 1.342
O 2.982 3.299 6.839
O 4.312 11.537 5.743
O 2.978 4.615 10.390
O 9.091 9.519 0.500
O 2.982 8.062 9.082
O 2.984 1.932 3.318
O 7.786 6.036 3.757
O 7.879 7.560 7.250
O 9.089 10.862 3.963
O 7.786 1.287 1.553
O 6.571 9.256 8.629
O 0.465 2.491 3.178
O 6.577 7.900 5.090
O 9.089 7.072 1.357
O 4.302 9.139 6.652
O 0.465 5.128 10.121
O 0.466 3.786 6.657
O 4.354 10.268 2.163
O 1.811 9.917 10.383
O 2.978 6.747 5.531
O 1.811 12.054 5.547
O 6.571 12.716 7.302
O 9.091 12.157 7.443
O 7.745 4.731 0.237
O 0.466 7.576 9.263
O 7.879 3.801 8.671
O 7.745 2.593 5.073
O 1.677 10.846 1.949
O 0.465 6.233 5.800
O 1.770 8.611 6.863
O 5.244 3.111 4.878
O 4.302 12.832 9.279
O 4.312 10.435 10.188
O 9.091 9.815 8.488
O 5.202 6.982 7.463
O 9.091 8.414 4.820
O 4.354 7.665 3.157

=====

5
Lattice="-3.515 -0.967 -0.766 1.007 -0.914 -3.468 2.547 -5.376 4.157" Properties=species:S:1:pos:R:3 comment="meta-GGA SCAN Mn2Pt2Cl, single point on PBEsol structure" crystal_system=tetragonal raw_formation_energy_ev_per_atom=-0.43 spacegroup="No. 139" density_g_cm3=9.475 dos_at_fermi_per_ev_cell=1.8 pbc="T T T"
Pt -1.111 -3.642 0.637
Pt 1.150 -3.615 -0.714
Mn -0.948 -2.435 -1.634
Mn 0.987 -4.822 1.557
Cl 0.000 0.000 0.000

=====

28
Lattice="5.486 0.000 0.000 0.000 7.920 0.000 0.000 0.000 12.647" Properties=species:S:1:pos:R:3 comment="meta-GGA SCAN Ca3P2Pt2, single point on PBEsol structure" crystal_system=orthorhombic spacegroup="No. 57" density_g_cm3=6.918 dos_at_fermi_per_ev_cell=9.0 formation_energy_ev_per_atom=-1.1713 pbc="T T T"
Ca 1.933 1.870 3.162
Ca 0.651 7.065 7.649
Ca 4.836 3.105 11.322
Ca 0.651 7.065 11.322
Ca 4.836 0.855 1.326
Ca 3.553 6.050 9.486
Ca 4.836 3.105 7.649
Ca 4.836 0.855 4.998
Ca 1.933 2.090 9.486
Ca 0.651 4.815 1.326
Ca 0.651 4.815 4.998
Ca 3.553 5.830 3.162
P 4.616 3.130 3.162
P 0.871 4.790 9.486
P 0.871 7.090 3.162
P 3.677 5.940 0.000
P 1.810 1.980 6.324
P 1.810 1.980 0.000
P 3.677 5.940 6.324
P 4.616 0.830 9.486
Pt 3.331 0.454 11.506
Pt 2.155 7.466 5.183
Pt 3.331 3.506 5.183
Pt 3.331 3.506 1.141
Pt 2.155 4.414 7.465
Pt 2.155 4.414 11.506
Pt 2.155 7.466 1.141
Pt 3.331 0.454 7.465

=====

5
Lattice="3.805 0.000 0.000 0.000 3.805 0.000 0.000 0.000 3.805" Properties=species:S:1:pos:R:3 comment="meta-GGA SCAN NaCuN3, single point on PBEsol structure" crystal_system=cubic raw_formation_energy_ev_per_atom=1.54 spacegroup="No. 221" density_g_cm3=3.875 dos_at_fermi_per_ev_cell=2.2 pbc="T T T"
N 1.903 0.000 0.000
N 0.000 1.903 0.000
N 0.000 0.000 1.903
Cu 0.000 0.000 0.000
Na 1.903 1.903 1.903

=====

4
Lattice="-0.649 -2.516 -0.476 3.834 -1.313 1.719 -2.907 0.125 3.303" Properties=species:S:1:pos:R:3 comment="meta-GGA SCAN Fe2RhW, single point on PBEsol structure" relative_energy_ev_per_atom=0.176 crystal_system=orthorhombic spacegroup="No. 65" density_g_cm3=13.510 dos_at_fermi_per_ev_cell=3.4 formation_energy_ev_per_atom=0.1633 pbc="T T T"
W 0.139 -1.852 2.273
Rh -0.324 -1.258 -0.238
Fe -1.454 0.063 1.651
Fe 1.917 -0.657 0.859

=====

Number 1: M_tot 2.75 μB/cell. Number 2: M_tot 1.99 μB/cell. Number 3: M_tot 1.02 μB/cell. Number 4: M_tot 0.00 μB/cell. Number 5: M_tot 0.00 μB/cell. Number 6: M_tot 0.00 μB/cell. Number 7: M_tot 0.00 μB/cell. Number 8: M_tot 0.00 μB/cell. Number 9: M_tot 2.65 μB/cell. Number 10: M_tot 1.94 μB/cell. Number 11: M_tot 4.92 μB/cell. Number 12: M_tot 0.00 μB/cell. Number 13: M_tot 1.00 μB/cell. Number 14: M_tot 0.00 μB/cell. Number 15: M_tot 9.65 μB/cell. Number 16: M_tot 0.00 μB/cell. Number 17: M_tot 4.51 μB/cell. Number 18: M_tot 3.99 μB/cell.